Compound: Hf2AlMo
Source: the Alexandria database
Functional: PBE-GGA
Structure: relaxed

Results
Calculated formation energy in eV/f.u.: 1.9
DOS at the Fermi energy in states/eV per cell: 2.39
Symmetry: Immm (71)

a = 6.210 Å, b = 6.210 Å, c = 6.210 Å
α = 54.94°, β = 153.02°, γ = 133.10°
Element x y z (fractional)
Hf1 0.000 0.753 0.753
Hf2 0.000 0.247 0.247
Al1 0.000 0.000 0.000
Mo1 0.000 0.500 0.500

=====

Compound: Hf2Al6Mo
Source: the Alexandria database
Functional: PBE-GGA
Structure: relaxed

Results
Calculated formation energy in eV/f.u.: -1.8
DOS at the Fermi energy in states/eV per cell: 4.70
Symmetry: C2/m (12)

a = 6.344 Å, b = 5.410 Å, c = 5.410 Å
α = 60.58°, β = 87.19°, γ = 87.19°
Element x y z (fractional)
Al1 0.315 0.821 0.331
Al2 0.685 0.669 0.179
Al3 0.315 0.331 0.821
Al4 0.336 0.822 0.822
Al5 0.685 0.179 0.669
Al6 0.664 0.178 0.178
Mo1 0.000 0.000 0.000
Hf1 0.924 0.673 0.673
Hf2 0.076 0.327 0.327

=====

Compound: Hf3AlMo8
Source: the Alexandria database
Functional: PBE-GGA
Structure: relaxed

Results
Calculated formation energy in eV/f.u.: -1.1
DOS at the Fermi energy in states/eV per cell: 8.25
Symmetry: R3m (160)

a = 9.215 Å, b = 9.215 Å, c = 9.215 Å
α = 33.57°, β = 33.57°, γ = 33.57°
Element x y z (fractional)
Mo1 0.062 0.560 0.062
Mo2 0.813 0.813 0.813
Mo3 0.312 0.312 0.312
Mo4 0.563 0.064 0.563
Mo5 0.563 0.563 0.064
Mo6 0.064 0.563 0.563
Mo7 0.560 0.062 0.062
Mo8 0.062 0.062 0.560
Hf1 0.001 0.001 0.001
Hf2 0.499 0.499 0.499
Hf3 0.625 0.625 0.625
Al1 0.125 0.125 0.125

=====

Compound: Hf2AlMo
Source: the Alexandria database
Functional: PBE-GGA
Structure: relaxed

Results
Calculated formation energy in eV/f.u.: 2.0
DOS at the Fermi energy in states/eV per cell: 8.22
Symmetry: I-42d (122)

a = 4.004 Å, b = 4.004 Å, c = 10.371 Å
α = 78.87°, β = 78.87°, γ = 90.00°
Element x y z (fractional)
Hf1 0.875 0.881 0.750
Hf2 0.119 0.625 0.250
Hf3 0.631 0.125 0.250
Hf4 0.375 0.369 0.750
Mo1 0.000 0.000 0.000
Mo2 0.750 0.250 0.500
Al1 0.250 0.750 0.500
Al2 0.500 0.500 0.000

=====

Compound: HfAlMo2P
Source: the Alexandria database
Functional: PBE-GGA
Structure: relaxed

Results
Calculated formation energy in eV/f.u.: 8.2
DOS at the Fermi energy in states/eV per cell: 6.06
Symmetry: P4/mmm (123)

a = 4.904 Å, b = 4.752 Å, c = 4.904 Å
α = 90.00°, β = 90.00°, γ = 90.00°
Each line ends with the local moment (μB).
Element x y z (fractional)
Mo1 0.500 0.000 0.000  1.18
Mo2 0.000 0.000 0.500  0.83
Al1 0.500 0.500 0.500  -0.03
P1 0.000 0.500 0.000  -0.02
Hf1 0.000 0.000 0.000  -0.04

=====

Compound: HfPaAlMo
Source: the Alexandria database
Functional: PBE-GGA
Structure: relaxed

Results
Calculated formation energy in eV/f.u.: 0.0
DOS at the Fermi energy in states/eV per cell: 3.08
Symmetry: F-43m (216)

a = 4.861 Å, b = 4.861 Å, c = 4.861 Å
α = 60.00°, β = 60.00°, γ = 60.00°
Element x y z (fractional)
Al1 0.500 0.500 0.500
Mo1 0.000 0.000 0.000
Pa1 0.750 0.750 0.750
Hf1 0.250 0.250 0.250

=====

Compound: HfAlMoPt
Source: the Alexandria database
Functional: PBE-GGA
Structure: relaxed

Results
Calculated formation energy in eV/f.u.: -2.0
DOS at the Fermi energy in states/eV per cell: 5.80
Symmetry: F-43m (216)

a = 4.534 Å, b = 4.534 Å, c = 4.534 Å
α = 60.00°, β = 60.00°, γ = 60.00°
Element x y z (fractional)
Mo1 0.250 0.250 0.250
Pt1 0.750 0.750 0.750
Hf1 0.500 0.500 0.500
Al1 0.000 0.000 0.000

=====

Compound: HfAlMo2Se
Source: the Alexandria database
Functional: PBE-GGA
Structure: relaxed

Results
E_form (uncorrected) in eV/atom: 1.69
Relative energy among the computed polymorphs in eV per atom: 0.4554
DOS at the Fermi energy in states/eV per cell: 5.63
Symmetry: P4/mmm (123)

a = 4.855 Å, b = 5.084 Å, c = 4.855 Å
α = 90.00°, β = 90.00°, γ = 90.00°
Each line ends with the local moment (μB).
Element x y z (fractional)
Se1 0.500 0.500 0.500  -0.05
Mo1 0.000 0.000 0.500  0.92
Mo2 0.500 0.000 0.000  1.06
Al1 0.000 0.500 0.000  -0.02
Hf1 0.000 0.000 0.000  -0.10

=====

Compound: HfAlMo2Se
Source: the Alexandria database
Functional: PBE-GGA
Structure: relaxed

Results
E_form (uncorrected) in eV/atom: 1.24
Relative energy among the computed polymorphs in eV per atom: 0.0000
DOS at the Fermi energy in states/eV per cell: 5.36
Symmetry: P4/mmm (123)

a = 4.552 Å, b = 5.043 Å, c = 4.552 Å
α = 90.00°, β = 90.00°, γ = 90.00°
Element x y z (fractional)
Mo1 0.000 0.000 0.500
Mo2 0.500 0.000 0.000
Se1 0.500 0.500 0.500
Al1 0.000 0.000 0.000
Hf1 0.000 0.500 0.000

=====

Compound: HfAlSnMo2
Source: the Alexandria database
Functional: PBE-GGA
Structure: relaxed

Results
Calculated formation energy in eV/f.u.: 8.0
DOS at the Fermi energy in states/eV per cell: 4.73
Symmetry: P4/mmm (123)

a = 4.974 Å, b = 4.670 Å, c = 4.974 Å
α = 90.00°, β = 90.00°, γ = 90.00°
Each line ends with the local moment (μB).
Element x y z (fractional)
Mo1 0.000 0.000 0.500  0.88
Mo2 0.500 0.000 0.000  0.80
Hf1 0.500 0.500 0.500  -0.12
Al1 0.000 0.500 0.000  -0.01
Sn1 0.000 0.000 0.000  -0.01

=====

Compound: HfAlVMo
Source: the Alexandria database
Functional: PBE-GGA
Structure: relaxed

Results
Calculated formation energy in eV/f.u.: -0.5
DOS at the Fermi energy in states/eV per cell: 1.27
Symmetry: F-43m (216)

a = 4.538 Å, b = 4.538 Å, c = 4.538 Å
α = 60.00°, β = 60.00°, γ = 60.00°
Element x y z (fractional)
Hf1 0.250 0.250 0.250
Mo1 0.000 0.000 0.000
Al1 0.500 0.500 0.500
V1 0.750 0.750 0.750

=====

Compound: HfAl2ZnMo
Source: the Alexandria database
Functional: PBE-GGA
Structure: relaxed

Results
Calculated formation energy in eV/f.u.: 4.3
DOS at the Fermi energy in states/eV per cell: 3.68
Symmetry: P4/mmm (123)

a = 4.445 Å, b = 4.936 Å, c = 4.445 Å
α = 90.00°, β = 90.00°, γ = 90.00°
Each line ends with the local moment (μB).
Element x y z (fractional)
Hf1 0.000 0.500 0.000  -0.11
Zn1 0.000 0.000 0.000  0.03
Mo1 0.500 0.500 0.500  1.60
Al1 0.000 0.000 0.500  -0.01
Al2 0.500 0.000 0.000  -0.01

=====

Compound: HfZrAlMo
Source: the Alexandria database
Functional: PBE-GGA
Structure: relaxed

Results
Calculated formation energy in eV/f.u.: -0.9
DOS at the Fermi energy in states/eV per cell: 3.84
Symmetry: F-43m (216)

a = 4.750 Å, b = 4.750 Å, c = 4.750 Å
α = 60.00°, β = 60.00°, γ = 60.00°
Element x y z (fractional)
Hf1 0.750 0.750 0.750
Zr1 0.250 0.250 0.250
Mo1 0.000 0.000 0.000
Al1 0.500 0.500 0.500

=====

Compound: HfAl3N
Source: the Alexandria database
Functional: PBE-GGA
Structure: relaxed

Results
E_form (uncorrected) in eV/atom: 0.02
Relative energy among the computed polymorphs in eV per atom: 0.0000
DOS at the Fermi energy in states/eV per cell: 5.19
Symmetry: Pm-3m (221)

a = 4.188 Å, b = 4.188 Å, c = 4.188 Å
α = 90.00°, β = 90.00°, γ = 90.00°
Each line ends with the local moment (μB).
Element x y z (fractional)
Al1 0.500 0.000 0.000  0.03
Al2 0.000 0.000 0.500  0.01
Al3 0.000 0.500 0.000  0.02
Hf1 0.500 0.500 0.500  0.40
N1 0.000 0.000 0.000  0.25

=====

Compound: Hf3Al3N
Source: the Alexandria database
Functional: PBE-GGA
Structure: relaxed

Results
E_form (uncorrected) in eV/atom: -0.80
DOS at the Fermi energy in states/eV per cell: 11.34
Symmetry: Fd-3m (227)

a = 8.606 Å, b = 8.606 Å, c = 8.606 Å
α = 60.00°, β = 60.00°, γ = 60.00°
Element x y z (fractional)
N1 0.125 0.125 0.625
N2 0.125 0.125 0.125
N3 0.125 0.625 0.125
N4 0.625 0.125 0.125
Hf1 0.066 0.434 0.434
Hf2 0.434 0.066 0.066
Hf3 0.434 0.066 0.434
Hf4 0.066 0.066 0.434
Hf5 0.184 0.816 0.184
Hf6 0.184 0.816 0.816
Hf7 0.816 0.184 0.184
Hf8 0.434 0.434 0.066
Hf9 0.816 0.184 0.816
Hf10 0.184 0.184 0.816
Hf11 0.816 0.816 0.184
Hf12 0.066 0.434 0.066
Al1 0.125 0.625 0.625
Al2 0.415 0.415 0.755
Al3 0.835 0.835 0.835
Al4 0.835 0.495 0.835
Al5 0.495 0.835 0.835
Al6 0.625 0.625 0.625
Al7 0.755 0.415 0.415
Al8 0.415 0.415 0.415
Al9 0.835 0.835 0.495
Al10 0.625 0.625 0.125
Al11 0.415 0.755 0.415
Al12 0.625 0.125 0.625

=====

Compound: Hf2AlN
Source: the Alexandria database
Functional: PBE-GGA
Structure: relaxed

Results
E_form (uncorrected) in eV/atom: -1.03
DOS at the Fermi energy in states/eV per cell: 1.23
Symmetry: R-3m (166)

a = 3.189 Å, b = 3.189 Å, c = 7.459 Å
α = 77.66°, β = 77.66°, γ = 60.00°
Element x y z (fractional)
N1 0.500 0.500 0.500
Hf1 0.226 0.226 0.323
Hf2 0.774 0.774 0.677
Al1 0.000 0.000 0.000

=====

Compound: Hf2AlN
Source: the Alexandria database
Functional: PBE-GGA
Structure: relaxed

Results
E_form (uncorrected) in eV/atom: 0.47
DOS at the Fermi energy in states/eV per cell: 3.02
Symmetry: Fm-3m (225)

a = 4.514 Å, b = 4.514 Å, c = 4.514 Å
α = 60.00°, β = 60.00°, γ = 60.00°
Element x y z (fractional)
Hf1 0.250 0.250 0.250
Hf2 0.750 0.750 0.750
N1 0.000 0.000 0.000
Al1 0.500 0.500 0.500

=====

Compound: Hf2AlN
Source: the Alexandria database
Functional: PBE-GGA
Structure: relaxed

Results
E_form (uncorrected) in eV/atom: -0.56
DOS at the Fermi energy in states/eV per cell: 2.18
Symmetry: I-42d (122)

a = 6.490 Å, b = 6.490 Å, c = 5.702 Å
α = 55.31°, β = 55.31°, γ = 90.00°
Element x y z (fractional)
N1 0.500 0.500 0.000
N2 0.250 0.750 0.500
Hf1 0.534 0.125 0.250
Hf2 0.875 0.784 0.750
Hf3 0.216 0.625 0.250
Hf4 0.375 0.466 0.750
Al1 0.000 0.000 0.000
Al2 0.750 0.250 0.500

=====

Compound: HfAlN2
Source: the Alexandria database
Functional: PBE-GGA
Structure: relaxed

Results
E_form (uncorrected) in eV/atom: -1.18
DOS at the Fermi energy in states/eV per cell: 3.83
Symmetry: I-42d (122)

a = 4.706 Å, b = 4.706 Å, c = 5.685 Å
α = 65.55°, β = 65.55°, γ = 90.00°
Element x y z (fractional)
N1 0.875 0.842 0.750
N2 0.158 0.625 0.250
N3 0.592 0.125 0.250
N4 0.375 0.408 0.750
Al1 0.500 0.500 0.000
Al2 0.250 0.750 0.500
Hf1 0.750 0.250 0.500
Hf2 0.000 0.000 0.000

=====

Compound: Hf7Al2N2
Source: the Alexandria database
Functional: PBE-GGA
Structure: relaxed

Results
E_form (uncorrected) in eV/atom: -0.53
DOS at the Fermi energy in states/eV per cell: 5.96
Symmetry: C2/m (12)

a = 6.183 Å, b = 5.689 Å, c = 6.183 Å
α = 85.54°, β = 113.01°, γ = 94.46°
Element x y z (fractional)
Al1 0.821 0.500 0.821
Al2 0.179 0.500 0.179
Hf1 0.930 0.234 0.511
Hf2 0.511 0.766 0.930
Hf3 0.434 0.216 0.566
Hf4 0.070 0.766 0.489
Hf5 0.489 0.234 0.070
Hf6 0.000 0.000 0.000
Hf7 0.566 0.784 0.434
N1 0.773 0.972 0.227
N2 0.227 0.028 0.773

=====

no.,uncorrected energy (eV/atom)
1,-8.1480
2,-6.1126
3,-10.1158
4,-8.1194
5,-6.5229
6,-8.5161
7,-8.1537
8,-6.0760
9,-6.5314
10,-6.2722
11,-8.5397
12,-5.0434
13,-8.5014
14,-5.8794
15,-7.8585
16,-9.0269
17,-7.5266
18,-8.5531
19,-8.7707
20,-9.0608